P | ! SrY3Al, relaxed, DFT PBE; values from VASP
&SYSTEM
  ibrav = 0, nat = 5, ntyp = 3
/
ATOMIC_SPECIES
Sr 87.62 Sr.upf
Y 88.91 Y.upf
Al 26.98 Al.upf
ATOMIC_POSITIONS angstrom
Sr 0.000 0.000 0.000
Y 0.000 2.853 2.853
Y 2.853 0.000 2.853
Y 2.853 2.853 0.000
Al 2.853 2.853 2.853
CELL_PARAMETERS angstrom
5.707 0.000 0.000
0.000 5.707 0.000
0.000 0.000 5.707
! Calculated density   3.407 g/cm³
! Space group   No. 221

Q | ! SrY3Al, relaxed, DFT PBE; values from VASP
&SYSTEM
  ibrav = 0, nat = 5, ntyp = 3
/
ATOMIC_SPECIES
Sr 87.62 Sr.upf
Y 88.91 Y.upf
Al 26.98 Al.upf
ATOMIC_POSITIONS angstrom
Sr 0.000 0.000 0.000
Y 0.000 0.000 2.792
Y 0.000 2.792 0.000
Y 2.792 0.000 0.000
Al 2.792 2.792 2.792
CELL_PARAMETERS angstrom
5.583 0.000 0.000
0.000 5.583 0.000
0.000 0.000 5.583
! Calculated density   3.638 g/cm³
! Space group   No. 221

Name the least stable of them. Q.

P | ! SrY3Al8, relaxed, DFT PBE; values from VASP
&SYSTEM
  ibrav = 0, nat = 12, ntyp = 3
/
ATOMIC_SPECIES
Sr 87.62 Sr.upf
Y 88.91 Y.upf
Al 26.98 Al.upf
ATOMIC_POSITIONS angstrom
Sr 0.000 0.000 0.000
Y 0.000 0.000 3.453
Y 0.000 0.000 13.852
Y 0.000 0.000 17.297
Al 0.000 -1.613 6.287
Al -1.396 0.806 6.287
Al -1.399 -0.808 11.024
Al 0.000 0.000 8.646
Al 1.396 0.806 6.287
Al 1.399 -0.808 11.024
Al 0.000 1.616 11.024
Al 0.000 0.000 22.495
CELL_PARAMETERS angstrom
2.813 1.624 9.229
-2.813 1.624 9.229
0.000 -3.248 9.229
! Calculated density   3.743 g/cm³
! Space group   No. 160

Q | ! SrY3Al8, relaxed, DFT PBE; values from VASP
&SYSTEM
  ibrav = 0, nat = 12, ntyp = 3
/
ATOMIC_SPECIES
Sr 87.62 Sr.upf
Y 88.91 Y.upf
Al 26.98 Al.upf
ATOMIC_POSITIONS angstrom
Sr 0.000 0.000 0.000
Y 0.000 0.000 3.379
Y 2.815 1.626 4.624
Y 2.815 1.626 7.985
Al 0.000 1.587 6.244
Al -1.441 4.083 6.244
Al 0.000 3.251 4.005
Al 0.000 3.251 8.605
Al 2.815 0.048 1.759
Al 1.449 2.414 1.759
Al 1.441 4.083 6.244
Al 4.182 2.414 1.759
CELL_PARAMETERS angstrom
5.631 0.000 0.000
-2.815 4.877 0.000
0.000 0.000 9.221
! Calculated density   3.739 g/cm³
! Space group   No. 156

Name the least stable of them. Q.

P | ! Sr3Al2Zn3, relaxed, DFT PBE; values from VASP
&SYSTEM
  ibrav = 0, nat = 16, ntyp = 3
/
ATOMIC_SPECIES
Sr 87.62 Sr.upf
Al 26.98 Al.upf
Zn 65.41 Zn.upf
ATOMIC_POSITIONS angstrom
Sr 2.365 4.636 9.424
Sr 2.365 4.636 13.972
Sr 2.365 1.196 11.698
Sr 2.365 -1.196 3.899
Sr 2.365 -4.636 1.625
Sr 2.365 -4.636 6.173
Al 2.365 3.425 1.497
Al 2.365 3.425 6.302
Al 2.365 -3.425 9.295
Al 2.365 -3.425 14.100
Zn 2.365 2.260 3.899
Zn 2.365 1.341 8.389
Zn 2.365 1.341 15.007
Zn 2.365 -1.341 0.590
Zn 2.365 -1.341 7.209
Zn 2.365 -2.260 11.698
CELL_PARAMETERS angstrom
2.365 -5.727 0.000
2.365 5.727 0.000
0.000 0.000 15.597
! Calculated density   4.034 g/cm³
! Space group   No. 63

Q | ! Sr3Al2Zn3, relaxed, DFT PBE; values from VASP
&SYSTEM
  ibrav = 0, nat = 16, ntyp = 3
/
ATOMIC_SPECIES
Sr 87.62 Sr.upf
Al 26.98 Al.upf
Zn 65.41 Zn.upf
ATOMIC_POSITIONS angstrom
Sr 2.215 6.582 11.355
Sr 2.215 4.982 7.622
Sr 2.215 4.982 15.087
Sr 2.215 -4.982 0.052
Sr 2.215 -4.982 7.518
Sr 2.215 -6.582 3.785
Al 2.215 2.522 10.053
Al 2.215 2.522 12.656
Al 2.215 -2.522 2.483
Al 2.215 -2.522 5.087
Zn 2.215 3.810 3.785
Zn 2.215 0.143 8.891
Zn 2.215 0.143 13.818
Zn 2.215 -0.143 1.321
Zn 2.215 -0.143 6.248
Zn 2.215 -3.810 11.355
CELL_PARAMETERS angstrom
2.215 -6.951 0.000
2.215 6.951 0.000
0.000 0.000 15.140
! Calculated density   3.655 g/cm³
! Space group   No. 63

Name the least stable of them. Q.

P | ! SrAl3Zn3, relaxed, DFT PBE; values from VASP
&SYSTEM
  ibrav = 0, nat = 14, ntyp = 3
/
ATOMIC_SPECIES
Sr 87.62 Sr.upf
Al 26.98 Al.upf
Zn 65.41 Zn.upf
ATOMIC_POSITIONS angstrom
Sr 0.000 0.000 0.000
Sr 3.528 3.528 3.528
Al 0.000 1.764 3.528
Al 0.000 5.292 3.528
Al 1.764 3.528 0.000
Al 3.528 0.000 1.764
Al 3.528 0.000 5.292
Al 5.292 3.528 0.000
Zn 0.000 3.528 1.764
Zn 0.000 3.528 5.292
Zn 1.764 0.000 3.528
Zn 3.528 1.764 0.000
Zn 3.528 5.292 0.000
Zn 5.292 0.000 3.528
CELL_PARAMETERS angstrom
7.056 0.000 0.000
0.000 7.056 0.000
0.000 0.000 7.056
! Calculated density   3.449 g/cm³
! Space group   No. 223

Q | ! SrAl3Zn3, relaxed, DFT PBE; values from VASP
&SYSTEM
  ibrav = 0, nat = 14, ntyp = 3
/
ATOMIC_SPECIES
Sr 87.62 Sr.upf
Al 26.98 Al.upf
Zn 65.41 Zn.upf
ATOMIC_POSITIONS angstrom
Sr -0.229 1.128 1.853
Sr 4.438 3.384 6.710
Al -0.421 1.128 5.757
Al 2.303 3.384 0.974
Al 1.075 3.384 6.208
Al 3.134 1.128 2.355
Al 1.906 1.128 7.589
Al 4.630 3.384 2.806
Zn -0.655 3.384 4.279
Zn -0.803 1.128 8.289
Zn 1.864 3.384 3.563
Zn 2.344 1.128 5.000
Zn 5.011 3.384 0.274
Zn 4.863 1.128 4.284
CELL_PARAMETERS angstrom
7.357 0.000 0.000
0.000 4.511 0.000
-3.148 0.000 8.563
! Calculated density   4.263 g/cm³
! Space group   No. 11

Name the least stable of them. P.